A plane-wave DFT calculation with PBE was carried out for a relaxed structure of BaHf2MgO.

Results
**Formation energy without anion corrections**: 1382 meV/atom

Cell: 5.800 5.800 4.407 Å, 90.00 90.00 90.00°
Fractional coordinates of all 5 atoms:
1 Ba 0.000 0.000 0.000
2 Hf 0.000 0.500 0.000
3 Hf 0.500 0.000 0.000
4 Mg 0.500 0.500 0.500
5 O 0.000 0.000 0.500

***

A plane-wave DFT calculation with PBE was carried out for a relaxed structure of Y2NbGeN5.

Results
**Formation energy without anion corrections**: -1010 meV/atom

Cell: 7.061 7.061 10.155 Å, 90.00 90.00 153.89°
Fractional coordinates of all 18 atoms:
1 Y 0.118 0.882 0.500
2 Y 0.129 0.871 0.067
3 Y 0.871 0.129 0.567
4 Y 0.882 0.118 0.000
5 Nb 0.226 0.774 0.792
6 Nb 0.774 0.226 0.292
7 Ge 0.490 0.510 0.262
8 Ge 0.510 0.490 0.762
9 N 0.057 0.943 0.837
10 N 0.286 0.714 0.431
11 N 0.297 0.703 0.155
12 N 0.371 0.629 0.797
13 N 0.499 0.501 0.079
14 N 0.501 0.499 0.579
15 N 0.629 0.371 0.297
16 N 0.703 0.297 0.655
17 N 0.714 0.286 0.931
18 N 0.943 0.057 0.337

***

A plane-wave DFT calculation with PBE was carried out for a relaxed structure of In4Ga3Pb3.

Cell: 8.900 8.900 8.900 Å, 109.47 109.47 109.47°
Fractional coordinates of all 20 atoms:
1 In 0.000 0.314 0.500
2 In 0.000 0.814 0.500
3 In 0.186 0.186 0.186
4 In 0.314 0.500 0.000
5 In 0.500 0.000 0.314
6 In 0.500 0.000 0.814
7 In 0.686 0.686 0.686
8 In 0.814 0.500 0.000
9 Ga 0.125 0.875 0.250
10 Ga 0.250 0.125 0.875
11 Ga 0.375 0.625 0.750
12 Ga 0.625 0.750 0.375
13 Ga 0.750 0.375 0.625
14 Ga 0.875 0.250 0.125
15 Pb 0.125 0.750 0.875
16 Pb 0.250 0.625 0.375
17 Pb 0.375 0.250 0.625
18 Pb 0.625 0.375 0.250
19 Pb 0.750 0.875 0.125
20 Pb 0.875 0.125 0.750

***

A plane-wave DFT calculation with PBE was carried out for a relaxed structure of Ce2NdZr.

Results
**Relative energy among the computed polymorphs**: 0.174 eV per atom

Cell: 12.251 12.251 12.251 Å, 15.26 15.26 15.26°
Fractional coordinates of all 4 atoms:
1 Ce 0.081 0.081 0.081
2 Ce 0.919 0.919 0.919
3 Nd 0.500 0.500 0.500
4 Zr 0.000 0.000 0.000

***

A plane-wave DFT calculation with PBE was carried out for a relaxed structure of Sm2CdPbAu4.

Cell: 8.818 8.818 8.818 Å, 33.14 33.14 33.14°
Fractional coordinates of all 8 atoms:
1 Sm 0.249 0.249 0.249
2 Sm 0.751 0.751 0.751
3 Cd 0.000 0.000 0.000
4 Pb 0.500 0.500 0.500
5 Au 0.120 0.120 0.120
6 Au 0.369 0.369 0.369
7 Au 0.631 0.631 0.631
8 Au 0.880 0.880 0.880

***

A plane-wave DFT calculation with PBE was carried out for a relaxed structure of Dy3Y2Se6.

Results
**Formation energy without anion corrections**: -1868 meV/atom
**Relative energy among the computed polymorphs**: 0.000 eV per atom

Cell: 7.028 7.028 7.025 Å, 99.64 99.64 119.77°
Fractional coordinates of all 11 atoms:
1 Dy 0.000 0.000 0.000
2 Dy 0.335 0.665 0.000
3 Dy 0.665 0.335 0.000
4 Y 0.165 0.835 0.500
5 Y 0.835 0.165 0.500
6 Se 0.089 0.417 0.252
7 Se 0.255 0.255 0.745
8 Se 0.417 0.089 0.252
9 Se 0.583 0.911 0.748
10 Se 0.745 0.745 0.255
11 Se 0.911 0.583 0.748

***

A plane-wave DFT calculation with PBE was carried out for a relaxed structure of CsBa2Te2.

Results
**Formation energy without anion corrections**: -1136 meV/atom
**Relative energy among the computed polymorphs**: 0.066 eV per atom

Cell: 9.323 9.323 9.323 Å, 143.03 143.03 53.28°
Fractional coordinates of all 5 atoms:
1 Cs 0.000 0.000 0.000
2 Ba 0.250 0.750 0.500
3 Ba 0.750 0.250 0.500
4 Te 0.357 0.357 0.000
5 Te 0.643 0.643 0.000

***

A plane-wave DFT calculation with PBE was carried out for a relaxed structure of AgHgRh2.

Cell: 2.830 2.830 9.496 Å, 90.00 90.00 117.63°
Fractional coordinates of all 4 atoms:
1 Ag 0.000 0.000 0.000
2 Hg 0.000 0.000 0.500
3 Rh 0.500 0.500 0.249
4 Rh 0.500 0.500 0.751

***

Per-record E_tot, eV for the cell shown: -21.47; -156.66; -60.78; -23.97; -32.22; -68.19; -16.66; -16.47